P:
The following is a DFT calculation (SCAN) of a PBEsol-optimized structure of KY2Rh.

Cell and atoms, written as extended XYZ:
```
4
Lattice="-1.0960 -0.6901 3.0651 -1.0845 -4.9324 -2.9664 5.7719 0.6601 0.7443" Properties=species:S:1:pos:R:3 pbc="T T T"
K 1.7957 -2.4812 0.4215
Rh -0.5480 -0.3451 1.5326
Y 2.8860 0.3300 0.3722
Y -0.5422 -2.4662 -1.4832
```

Summary:
**D(E_F)**: 2.3 states/eV/f.u.
**Total magnetization**: 0.00 μB per formula unit

=====

Q:
The following is a DFT calculation (SCAN) of a PBEsol-optimized structure of KY2Rh.

Cell and atoms, written as extended XYZ:
```
4
Lattice="4.0463 0.0000 0.0000 2.0232 3.5059 0.0024 2.0232 1.1267 9.8497" Properties=species:S:1:pos:R:3 pbc="T T T"
Y 2.0232 1.1634 1.3959
Y 2.0232 1.1233 8.4683
K 4.0463 2.3293 4.9052
Rh 4.0463 2.3328 0.0087
```

Summary:
**D(E_F)**: 2.4 states/eV/f.u.
**Total magnetization**: 0.00 μB per formula unit

=====

Verdict on stability: P comes out at the bottom.

=====

P:
The following is a DFT calculation (SCAN) of a PBEsol-optimized structure of KRu.

Cell and atoms, written as extended XYZ:
```
2
Lattice="-1.6313 -0.3910 -2.1925 1.5253 -2.0842 0.9747 -4.2366 -1.5011 3.4198" Properties=species:S:1:pos:R:3 pbc="T T T"
K 0.0000 0.0000 0.0000
Ru -1.6451 -2.2704 1.6289
```

Summary:
**D(E_F)**: 1.3 states/eV/f.u.
**Total magnetization**: 0.81 μB per formula unit

=====

Q:
The following is a DFT calculation (SCAN) of a PBEsol-optimized structure of KRu.

Cell and atoms, written as extended XYZ:
```
2
Lattice="-3.4262 -0.4532 -0.9055 1.0006 -2.0053 -2.7824 -0.1553 -2.9219 2.0500" Properties=species:S:1:pos:R:3 pbc="T T T"
Ru -1.2904 -2.6902 -0.8190
K 0.0000 0.0000 0.0000
```

Summary:
**D(E_F)**: 3.3 states/eV/f.u.
**Total magnetization**: 2.09 μB per formula unit

=====

Verdict on stability: Q comes out at the bottom.

=====

P:
The following is a DFT calculation (SCAN) of a PBEsol-optimized structure of KRu.

Cell and atoms, written as extended XYZ:
```
2
Lattice="2.7611 0.0000 0.0000 1.3805 2.3912 0.0000 1.3805 0.7971 5.6523" Properties=species:S:1:pos:R:3 pbc="T T T"
Ru 2.7611 1.5941 2.8261
K 0.0000 0.0000 0.0000
```

Summary:
**D(E_F)**: 1.3 states/eV/f.u.
**Total magnetization**: 0.79 μB per formula unit

=====

Q:
The following is a DFT calculation (SCAN) of a PBEsol-optimized structure of KRu.

Cell and atoms, written as extended XYZ:
```
4
Lattice="-1.2959 -0.5049 -2.4637 -2.1864 -1.8112 3.1457 -5.0677 8.3611 0.9520" Properties=species:S:1:pos:R:3 pbc="T T T"
Ru -2.3050 -1.1647 1.4511
K -6.4601 4.1789 0.9171
Ru -6.2451 7.2096 0.1828
K -2.0900 1.8661 0.7169
```

Summary:
**D(E_F)**: 1.5 states/eV/f.u.
**Total magnetization**: 0.03 μB per formula unit

=====

Verdict on stability: P comes out at the bottom.

=====

P:
The following is a DFT calculation (SCAN) of a PBEsol-optimized structure of KScRu2.

Cell and atoms, written as extended XYZ:
```
4
Lattice="2.9135 0.0000 0.0327 0.0000 3.6997 0.0000 -0.1542 0.0000 8.5378" Properties=species:S:1:pos:R:3 pbc="T T T"
Ru -0.0124 0.0000 0.8523
K 1.3058 1.8498 6.8503
Sc -0.0454 0.0000 3.3215
Ru 1.4342 1.8498 1.8154
```

Summary:
**D(E_F)**: 2.1 states/eV/f.u.
**Total magnetization**: 0.00 μB per formula unit

=====

Q:
The following is a DFT calculation (SCAN) of a PBEsol-optimized structure of KScRu2.

Cell and atoms, written as extended XYZ:
```
4
Lattice="-0.5035 -4.3379 1.5287 1.6633 -1.1989 4.1478 -2.9063 -0.9020 3.4854" Properties=species:S:1:pos:R:3 pbc="T T T"
Ru -0.4366 -1.6097 2.2905
Ru -1.3098 -4.8291 6.8714
Sc -0.8732 -3.2194 4.5809
K 0.0000 0.0000 0.0000
```

Summary:
**D(E_F)**: 5.3 states/eV/f.u.
**Total magnetization**: 0.00 μB per formula unit

=====

Verdict on stability: Q comes out at the bottom.